# GGA-PBE Rb2Cd15Ag2, optimized geometry
# DFT total energy in Ry per atom: -0.084
data_Rb2Cd15Ag2
_chemical_formula_sum 'Rb2 Cd15 Ag2'
_cell_length_a 7.8760
_cell_length_b 7.8760
_cell_length_c 7.8760
_cell_angle_alpha 83.20
_cell_angle_beta 83.20
_cell_angle_gamma 83.20
_space_group_name_H-M_alt 'P 1'
_space_group_IT_number 1
loop_
_space_group_symop_operation_xyz
'x,y,z'
loop_
_atom_site_label
_atom_site_type_symbol
_atom_site_fract_x
_atom_site_fract_y
_atom_site_fract_z
Rb1 Rb 0.1565 0.1565 0.1565
Rb2 Rb 0.8435 0.8435 0.8435
Cd1 Cd 0.0000 0.5000 0.5000
Cd2 Cd 0.1514 0.1514 0.6430
Cd3 Cd 0.1514 0.6430 0.1514
Cd4 Cd 0.2128 0.5000 0.7872
Cd5 Cd 0.2128 0.7872 0.5000
Cd6 Cd 0.3570 0.8486 0.8486
Cd7 Cd 0.5000 0.0000 0.5000
Cd8 Cd 0.5000 0.2128 0.7872
Cd9 Cd 0.5000 0.5000 0.0000
Cd10 Cd 0.5000 0.7872 0.2128
Cd11 Cd 0.6430 0.1514 0.1514
Cd12 Cd 0.7872 0.2128 0.5000
Cd13 Cd 0.7872 0.5000 0.2128
Cd14 Cd 0.8486 0.3570 0.8486
Cd15 Cd 0.8486 0.8486 0.3570
Ag1 Ag 0.4017 0.4017 0.4017
Ag2 Ag 0.5983 0.5983 0.5983